# 1
{"formula": "LaGa3Te", "functional": "SCAN", "state": "single point on PBEsol structure", "lattice": [[5.615, 0.000, 0.000], [0.000, 5.615, 0.000], [0.000, 0.000, 5.615]], "species": ["La", "Ga", "Ga", "Ga", "Te"], "fractional_positions": [[0.000, 0.000, 0.000], [0.000, 0.000, 0.500], [0.000, 0.500, 0.000], [0.500, 0.000, 0.000], [0.500, 0.500, 0.500]], "dft_energy_ha_per_atom": -0.923, "n_ef_per_ev_cell": 2.5}

=====

# 2
{"formula": "La2TlGa2", "functional": "SCAN", "state": "single point on PBEsol structure", "lattice": [[7.463, 0.000, 0.000], [0.000, 7.463, 0.000], [0.000, 0.000, 4.599]], "species": ["La", "La", "La", "La", "Tl", "Tl", "Ga", "Ga", "Ga", "Ga"], "fractional_positions": [[0.174, 0.326, 0.000], [0.326, 0.826, 0.000], [0.674, 0.174, 0.000], [0.826, 0.674, 0.000], [0.000, 0.000, 0.500], [0.500, 0.500, 0.500], [0.122, 0.622, 0.500], [0.378, 0.122, 0.500], [0.622, 0.878, 0.500], [0.878, 0.378, 0.500]], "n_ef_per_ev_cell": 7.8, "delta_e_f_mev_per_atom": -679}

=====

# 3
{"formula": "La2TlGa", "functional": "SCAN", "state": "single point on PBEsol structure", "lattice": [[7.642, 0.000, 0.000], [0.000, 7.642, 0.000], [0.000, 0.000, 7.642]], "species": ["La", "La", "La", "La", "La", "La", "La", "La", "Tl", "Tl", "Tl", "Tl", "Ga", "Ga", "Ga", "Ga"], "fractional_positions": [[0.250, 0.250, 0.250], [0.250, 0.250, 0.750], [0.250, 0.750, 0.250], [0.250, 0.750, 0.750], [0.750, 0.250, 0.250], [0.750, 0.250, 0.750], [0.750, 0.750, 0.250], [0.750, 0.750, 0.750], [0.000, 0.000, 0.000], [0.000, 0.500, 0.500], [0.500, 0.000, 0.500], [0.500, 0.500, 0.000], [0.000, 0.000, 0.500], [0.000, 0.500, 0.000], [0.500, 0.000, 0.000], [0.500, 0.500, 0.500]], "n_ef_per_ev_cell": 11.2, "delta_e_f_mev_per_atom": -631}

=====

# 4
{"formula": "LaTlGa2", "functional": "SCAN", "state": "single point on PBEsol structure", "lattice": [[7.189, 0.000, 0.000], [0.000, 7.189, 0.000], [0.000, 0.000, 7.189]], "species": ["La", "La", "La", "La", "Tl", "Tl", "Tl", "Tl", "Ga", "Ga", "Ga", "Ga", "Ga", "Ga", "Ga", "Ga"], "fractional_positions": [[0.000, 0.000, 0.000], [0.000, 0.500, 0.500], [0.500, 0.000, 0.500], [0.500, 0.500, 0.000], [0.000, 0.000, 0.500], [0.000, 0.500, 0.000], [0.500, 0.000, 0.000], [0.500, 0.500, 0.500], [0.250, 0.250, 0.250], [0.250, 0.250, 0.750], [0.250, 0.750, 0.250], [0.250, 0.750, 0.750], [0.750, 0.250, 0.250], [0.750, 0.250, 0.750], [0.750, 0.750, 0.250], [0.750, 0.750, 0.750]], "n_ef_per_ev_cell": 6.9, "delta_e_f_mev_per_atom": -323}

=====

# 5
{"formula": "LaTlGa3", "functional": "SCAN", "state": "single point on PBEsol structure", "lattice": [[5.591, 0.000, 0.000], [0.000, 5.591, 0.000], [0.000, 0.000, 5.591]], "species": ["La", "Tl", "Ga", "Ga", "Ga"], "fractional_positions": [[0.000, 0.000, 0.000], [0.500, 0.500, 0.500], [0.000, 0.000, 0.500], [0.000, 0.500, 0.000], [0.500, 0.000, 0.000]], "n_ef_per_ev_cell": 6.9, "delta_e_f_mev_per_atom": 685}

=====

# 6
{"formula": "LaTlGaW2", "functional": "SCAN", "state": "single point on PBEsol structure", "lattice": [[5.113, 0.000, 0.000], [0.000, 5.113, 0.000], [0.000, 0.000, 4.893]], "species": ["La", "Tl", "Ga", "W", "W"], "fractional_positions": [[0.000, 0.000, 0.000], [0.500, 0.500, 0.500], [0.500, 0.500, 0.000], [0.000, 0.500, 0.500], [0.500, 0.000, 0.500]], "n_ef_per_ev_cell": 6.1, "delta_e_f_mev_per_atom": 1943}

=====

For reference, calculated volume by record: 177.0 256.1 446.3 371.6 174.7 127.9 Å³ per cell.
For reference, M_tot by record: 0.00 0.00 0.00 0.00 0.00 0.17 μB/f.u..